! PmPuGa, optimized geometry, DFT PBE-GGA; values from VASP
&SYSTEM
  ibrav = 0, nat = 3, ntyp = 3
/
ATOMIC_SPECIES
Pu 244.00 Pu.upf
Ga 69.72 Ga.upf
Pm 145.00 Pm.upf
CELL_PARAMETERS angstrom
3.4605 0.0000 0.0000
0.0000 5.0589 0.0000
0.0000 -2.5294 4.3811
ATOMIC_POSITIONS angstrom
Pu 2.4710 0.0000 2.9207
Ga 3.3987 0.0000 0.0000
Pm 1.0513 2.5294 1.4604
! crystal system	trigonal
! calculated formation energy	-127.6	meV/atom
! relative energy among the computed polymorphs	22	kJ/mol of formula units
! total energy	-7.50	eV/atom


! AsOsW, optimized geometry, DFT PBE-GGA; values from VASP
&SYSTEM
  ibrav = 0, nat = 3, ntyp = 3
/
ATOMIC_SPECIES
As 74.92 As.upf
W 183.84 W.upf
Os 190.23 Os.upf
CELL_PARAMETERS angstrom
-0.9666 2.5710 3.2902
-2.2846 -3.5622 -0.6793
1.7931 -1.4694 1.6750
ATOMIC_POSITIONS angstrom
As 0.2985 -0.2446 0.2788
W -0.2103 -0.4532 3.0839
Os -1.5463 -1.7628 0.9232
! crystal system	hexagonal
! calculated formation energy	240.5	meV/atom
! relative energy among the computed polymorphs	10	kJ/mol of formula units
! total energy	-9.37	eV/atom


! PuO2, optimized geometry, DFT PBE-GGA; values from VASP
&SYSTEM
  ibrav = 0, nat = 3, ntyp = 2
/
ATOMIC_SPECIES
O 16.00 O.upf
Pu 244.00 Pu.upf
CELL_PARAMETERS angstrom
-3.1988 -0.6908 -1.9447
0.1506 -0.6223 -3.7525
-0.6738 -3.4831 -1.3803
ATOMIC_POSITIONS angstrom
O -0.9305 -1.1991 -1.7694
Pu 0.0000 0.0000 0.0000
O -2.7915 -3.5972 -5.3081
! crystal system	cubic
! E_form (uncorrected)	-3.140	eV per atom
! total energy	-11.22	eV/atom


! InHg2Sb, optimized geometry, DFT PBE-GGA; values from VASP
&SYSTEM
  ibrav = 0, nat = 4, ntyp = 3
/
ATOMIC_SPECIES
In 114.82 In.upf
Hg 200.59 Hg.upf
Sb 121.76 Sb.upf
CELL_PARAMETERS angstrom
3.2341 0.1054 0.0000
-0.9442 3.0950 0.0000
0.0000 0.0000 10.9827
ATOMIC_POSITIONS angstrom
In 0.0000 0.0000 5.5618
Hg 0.0000 0.0000 0.0323
Hg 1.1450 1.6002 2.7555
Sb 1.1450 1.6002 8.1245
! crystal system	orthorhombic
! E_form (uncorrected)	0.080	eV per atom
! total energy	-1.79	eV/atom


! ZrAlIr2, optimized geometry, DFT PBE-GGA; values from VASP
&SYSTEM
  ibrav = 0, nat = 4, ntyp = 3
/
ATOMIC_SPECIES
Ir 192.22 Ir.upf
Al 26.98 Al.upf
Zr 91.22 Zr.upf
CELL_PARAMETERS angstrom
-0.1794 -1.6865 3.0635
2.8650 -1.8298 -0.8395
3.1760 3.9019 2.3341
ATOMIC_POSITIONS angstrom
Ir 3.0117 3.7000 2.2133
Ir 2.2287 -0.6698 1.7631
Al 3.8739 1.3515 2.9721
Zr 1.5113 1.8567 1.1107
! crystal system	tetragonal
! calculated formation energy	-551.3	meV/atom
! total energy	-8.05	eV/atom


! Mn3AlRh, optimized geometry, DFT PBE-GGA; values from VASP
&SYSTEM
  ibrav = 0, nat = 5, ntyp = 3
/
ATOMIC_SPECIES
Mn 54.94 Mn.upf
Al 26.98 Al.upf
Rh 102.91 Rh.upf
CELL_PARAMETERS angstrom
-3.9806 2.1006 1.5827
-1.8608 -4.2782 0.9980
1.8587 0.2154 4.3888
ATOMIC_POSITIONS angstrom
Mn 0.9293 0.1077 2.1944
Al -1.9914 -0.9812 3.4847
Mn -1.9903 1.0503 0.7914
Rh 0.0000 0.0000 0.0000
Mn -0.9304 -2.1391 0.4990
! crystal system	cubic
! calculated formation energy	925.0	meV/atom
! relative energy among the computed polymorphs	0	kJ/mol of formula units
! total energy	-6.80	eV/atom


no.,size of the total moment (μB/f.u.)
1,5.837
2,0.000
3,4.000
4,0.000
5,0.000
6,13.098